1.
Computed, not measured: a relaxed structure of Pr8Ga3PtBr4 at the PBE level of DFT.

Values from the calculation:
Formation energy (no corrections) ... -964 meV/atom
V ... 476.89 Å³ per cell
Magnetic moment ... 0.000 μB per atom
Calculated total energy ... -4.717 eV per atom
Crystal system ... monoclinic

Unit cell a=8.6686 b=8.6686 c=8.8851 alpha=119.27 beta=119.27 gamma=59.90
Fractional positions:
Pr 0.2363 0.2363 0.7195
Pr 0.2361 0.7467 0.7191
Pr 0.2533 0.7639 0.2809
Pr 0.2556 0.2556 0.2666
Pr 0.7444 0.7444 0.7334
Pr 0.7467 0.2361 0.7191
Pr 0.7639 0.2533 0.2809
Pr 0.7637 0.7637 0.2805
Ga 0.0000 0.5000 0.5000
Ga 0.5000 0.0000 0.5000
Ga 0.5000 0.5000 0.5000
Pt 0.0000 0.0000 0.5000
Br 0.0000 0.0000 0.0000
Br 0.0000 0.5000 0.0000
Br 0.5000 0.0000 0.0000
Br 0.5000 0.5000 0.0000

***

2.
Computed, not measured: a relaxed structure of PrGaPtBr at the PBE level of DFT.

Values from the calculation:
Formation energy (no corrections) ... -1200 meV/atom
V ... 223.88 Å³ per cell
Magnetic moment ... 0.000 μB per atom
Calculated total energy ... -5.080 eV per atom
Crystal system ... trigonal

Unit cell a=14.0213 b=14.0213 c=14.0213 alpha=17.76 beta=17.76 gamma=17.76
Fractional positions:
Pr 0.0792 0.0792 0.0792
Pr 0.9208 0.9208 0.9208
Ga 0.3092 0.3092 0.3092
Ga 0.6908 0.6908 0.6908
Pt 0.3713 0.3713 0.3713
Pt 0.6287 0.6287 0.6287
Br 0.2093 0.2093 0.2093
Br 0.7907 0.7907 0.7907

***

3.
Computed, not measured: a relaxed structure of Pr8Ga3RhBr4 at the PBE level of DFT.

Values from the calculation:
Formation energy (no corrections) ... -914 meV/atom
V ... 476.90 Å³ per cell
Magnetic moment ... 0.000 μB per atom
Calculated total energy ... -4.749 eV per atom
Crystal system ... monoclinic

Unit cell a=8.6346 b=8.6346 c=8.9216 alpha=119.01 beta=119.01 gamma=59.91
Fractional positions:
Pr 0.2315 0.7509 0.7138
Pr 0.2321 0.2321 0.7147
Pr 0.2491 0.7685 0.2862
Pr 0.2553 0.2553 0.2656
Pr 0.7447 0.7447 0.7344
Pr 0.7509 0.2315 0.7138
Pr 0.7679 0.7679 0.2853
Pr 0.7685 0.2491 0.2862
Ga 0.0000 0.5000 0.5000
Ga 0.5000 0.0000 0.5000
Ga 0.5000 0.5000 0.5000
Rh 0.0000 0.0000 0.5000
Br 0.0000 0.0000 0.0000
Br 0.0000 0.5000 0.0000
Br 0.5000 0.0000 0.0000
Br 0.5000 0.5000 0.0000

***

Repeat the third record exactly.
Computed, not measured: a relaxed structure of Pr8Ga3RhBr4 at the PBE level of DFT.

Values from the calculation:
Formation energy (no corrections) ... -914 meV/atom
V ... 476.90 Å³ per cell
Magnetic moment ... 0.000 μB per atom
Calculated total energy ... -4.749 eV per atom
Crystal system ... monoclinic

Unit cell a=8.6346 b=8.6346 c=8.9216 alpha=119.01 beta=119.01 gamma=59.91
Fractional positions:
Pr 0.2315 0.7509 0.7138
Pr 0.2321 0.2321 0.7147
Pr 0.2491 0.7685 0.2862
Pr 0.2553 0.2553 0.2656
Pr 0.7447 0.7447 0.7344
Pr 0.7509 0.2315 0.7138
Pr 0.7679 0.7679 0.2853
Pr 0.7685 0.2491 0.2862
Ga 0.0000 0.5000 0.5000
Ga 0.5000 0.0000 0.5000
Ga 0.5000 0.5000 0.5000
Rh 0.0000 0.0000 0.5000
Br 0.0000 0.0000 0.0000
Br 0.0000 0.5000 0.0000
Br 0.5000 0.0000 0.0000
Br 0.5000 0.5000 0.0000

***

Copy entry 3 word for word.
Computed, not measured: a relaxed structure of Pr8Ga3RhBr4 at the PBE level of DFT.

Values from the calculation:
Formation energy (no corrections) ... -914 meV/atom
V ... 476.90 Å³ per cell
Magnetic moment ... 0.000 μB per atom
Calculated total energy ... -4.749 eV per atom
Crystal system ... monoclinic

Unit cell a=8.6346 b=8.6346 c=8.9216 alpha=119.01 beta=119.01 gamma=59.91
Fractional positions:
Pr 0.2315 0.7509 0.7138
Pr 0.2321 0.2321 0.7147
Pr 0.2491 0.7685 0.2862
Pr 0.2553 0.2553 0.2656
Pr 0.7447 0.7447 0.7344
Pr 0.7509 0.2315 0.7138
Pr 0.7679 0.7679 0.2853
Pr 0.7685 0.2491 0.2862
Ga 0.0000 0.5000 0.5000
Ga 0.5000 0.0000 0.5000
Ga 0.5000 0.5000 0.5000
Rh 0.0000 0.0000 0.5000
Br 0.0000 0.0000 0.0000
Br 0.0000 0.5000 0.0000
Br 0.5000 0.0000 0.0000
Br 0.5000 0.5000 0.0000

***

magnetic moment of number 3 (Pr8Ga3RhBr4)? 0.000 μB per atom

***

The lowest formation energy (no corrections) belongs to which entry? PrGaPtBr